Run a
VASP calculation (PBE) on ZrP2Cl after structural relaxation.

abc: 3.726 3.335 7.846
angles: 90.00 90.11 90.00
Fractional positions:
Zr 0.000 0.000 0.000
P 0.500 0.500 0.115
P 0.502 0.000 0.301
Cl 0.000 0.500 0.749

Summary:
Space group: Pm, No. 6

---

Run b
VASP calculation (PBE) on ZrP2Cl after structural relaxation.

abc: 9.689 3.250 4.940
angles: 90.00 99.29 90.00
Fractional positions:
Zr 0.000 0.000 0.000
Zr 0.500 0.500 0.000
P 0.234 0.500 0.151
P 0.266 0.000 0.849
P 0.734 0.000 0.151
P 0.766 0.500 0.849
Cl 0.000 0.500 0.500
Cl 0.500 0.000 0.500

Summary:
Space group: C2/m, No. 12

---

Which is the most stable structure? run a is the most stable.